No. 1
The following is a DFT calculation (meta-GGA SCAN) of a crystal of BeAs2Os relaxed with PBEsol.

abc: 4.292 4.292 3.082
angles: 90.00 90.00 90.00
Space group P4/mmm (No. 123)
One atom of each set of equivalent atoms:
Be  0.000  0.000  0.000 (multiplicity 1)
As  0.000  0.500  0.500 (multiplicity 2)
Os  0.500  0.500  0.000 (multiplicity 1)

Energy of formation   0.54 eV per atom

No. 2
The following is a DFT calculation (meta-GGA SCAN) of a crystal of Be2AsOs relaxed with PBEsol.

abc: 3.559 3.559 7.305
angles: 90.00 90.00 90.00
Space group I4/mmm (No. 139)
One atom of each set of equivalent atoms:
Be  0.000  0.500  0.250 (multiplicity 4)
As  0.000  0.000  0.000 (multiplicity 2)
Os  0.000  0.000  0.500 (multiplicity 2)

Energy of formation   0.07 eV per atom

No. 3
The following is a DFT calculation (meta-GGA SCAN) of a crystal of BeAsOs relaxed with PBEsol.

abc: 2.973 3.363 7.464
angles: 90.00 90.00 90.00
Space group Imm2 (No. 44)
One atom of each set of equivalent atoms:
Be  0.000  0.000  0.000 (multiplicity 2)
As  0.000  0.000  0.325 (multiplicity 2)
Os  0.000  0.000  0.660 (multiplicity 2)

Energy of formation   -0.04 eV per atom

No. 4
The following is a DFT calculation (meta-GGA SCAN) of a crystal of BeAs2Os relaxed with PBEsol.

abc: 5.264 5.264 10.918
angles: 90.00 90.00 90.00
Space group I-42d (No. 122)
One atom of each set of equivalent atoms:
Be  0.000  0.000  0.000 (multiplicity 4)
As  0.233  0.250  0.125 (multiplicity 8)
Os  0.000  0.000  0.500 (multiplicity 4)

Energy of formation   0.23 eV per atom

No. 5
The following is a DFT calculation (meta-GGA SCAN) of a crystal of BeAs2Os relaxed with PBEsol.

abc: 2.949 2.949 7.098
angles: 90.00 90.00 90.00
Space group P4mm (No. 99)
One atom of each set of equivalent atoms:
Be  0.000  0.000  0.000 (multiplicity 1)
As  0.000  0.000  0.377 (multiplicity 1)
As  0.500  0.500  0.791 (multiplicity 1)
Os  0.500  0.500  0.159 (multiplicity 1)

Energy of formation   -0.05 eV per atom

No. 6
The following is a DFT calculation (meta-GGA SCAN) of a crystal of BeAs2Os relaxed with PBEsol.

abc: 3.000 5.062 7.655
angles: 90.00 90.00 90.00
Space group Cmmm (No. 65)
One atom of each set of equivalent atoms:
Be  0.000  0.000  0.000 (multiplicity 2)
As  0.000  0.500  0.236 (multiplicity 4)
Os  0.000  0.000  0.500 (multiplicity 2)

Energy of formation   0.62 eV per atom

No. 7
The following is a DFT calculation (meta-GGA SCAN) of a crystal of Be2AsOsRu relaxed with PBEsol.

abc: 4.123 4.123 4.556
angles: 90.00 90.00 90.00
Space group P4/mmm (No. 123)
One atom of each set of equivalent atoms:
Be  0.000  0.500  0.000 (multiplicity 2)
As  0.000  0.000  0.500 (multiplicity 1)
Os  0.000  0.000  0.000 (multiplicity 1)
Ru  0.500  0.500  0.500 (multiplicity 1)

Energy of formation   0.86 eV per atom

No. 8
The following is a DFT calculation (meta-GGA SCAN) of a crystal of BeAsP4 relaxed with PBEsol.

abc: 7.049 7.049 7.049
angles: 90.00 90.00 90.00
Space group F-43m (No. 216)
One atom of each set of equivalent atoms:
Be  0.000  0.000  0.000 (multiplicity 4)
As  0.250  0.250  0.750 (multiplicity 4)
P  0.126  0.126  0.374 (multiplicity 16)

Energy of formation   1.01 eV per atom